A relaxed structure of CeEr2ScSb4, computed with PBE.

Summary:
magnetic moment: 0.65 μB/f.u.
Fermi-level density of states: 7.06 states/eV/cell
mass density: 7.202 Mg/m³
raw formation energy: -1.02 eV per atom

Cell lengths 4.3508, 7.5111, 7.5315 Å; angles 109.43, 90.00, 90.00 degrees
Site moments in Bohr magnetons follow the coordinates.
Atoms (fractional coordinates):
Ce 0.5000 0.5000 0.0000  0.63
Sc 0.0000 0.0000 0.0000  0.00
Er 0.0000 0.5000 0.5000  0.00
Sb 0.0000 0.2404 0.7486  -0.01
Er 0.5000 0.0000 0.5000  -0.01
Sb 0.5000 0.2396 0.2443  -0.01
Sb 0.0000 0.7596 0.2514  -0.01
Sb 0.5000 0.7604 0.7557  -0.01